First-principles (GGA-PBEsol) data for K2Cd2Hg after structural relaxation, as listed in the Alexandria database.

The calculation puts the theoretical density at 4.89 Mg/m³. The calculation puts the uncorrected energy at -0.079 Ry per atom. Its formation energy is -0.0294 eV/atom.

The structure belongs to space group I4/mmm (No. 139); the cell edges are 4.087, 4.087 and 20.456 Å and the angles 90.00°, 90.00° and 90.00°. The inequivalent atoms are K at (0.000, 0.000, 0.104), Cd at (0.000, 0.500, 0.250) and Hg at (0.000, 0.000, 0.500).

First-principles (GGA-PBEsol) data for K2Cd2Hg after structural relaxation, as listed in the Alexandria database.

The calculation puts the theoretical density at 5.18 Mg/m³. The calculation puts the uncorrected energy at -0.081 Ry per atom. Its formation energy is -0.0500 eV/atom.

The structure belongs to space group P4/mbm (No. 127); the cell edges are 7.653, 7.653 and 5.512 Å and the angles 90.00°, 90.00° and 90.00°. The inequivalent atoms are K at (0.178, 0.322, 0.000), Cd at (0.134, 0.634, 0.500) and Hg at (0.000, 0.000, 0.500).

First-principles (GGA-PBEsol) data for KCdHg3 after structural relaxation, as listed in the Alexandria database.

The calculation puts the theoretical density at 7.47 Mg/m³. The calculation puts the uncorrected energy at -0.061 Ry per atom. Its formation energy is -0.0260 eV/atom.

The structure belongs to space group Pm-3m (No. 221); the cell edges are 5.511, 5.511 and 5.511 Å and the angles 90.00°, 90.00° and 90.00°. The inequivalent atoms are K at (0.000, 0.000, 0.000), Cd at (0.500, 0.500, 0.500) and Hg at (0.000, 0.500, 0.500).

First-principles (GGA-PBEsol) data for KCdHg after structural relaxation, as listed in the Alexandria database.

The calculation puts the theoretical density at 6.58 Mg/m³. The calculation puts the uncorrected energy at -0.079 Ry per atom. Its formation energy is -0.1054 eV/atom.

The structure belongs to space group I4mm (No. 107); the cell edges are 3.866, 3.866 and 11.898 Å and the angles 90.00°, 90.00° and 90.00°. The inequivalent atoms are K at (0.000, 0.000, 0.000), Cd at (0.000, 0.000, 0.295) and Hg at (0.000, 0.000, 0.696).

First-principles (GGA-PBEsol) data for LaCd2Hg after structural relaxation, as listed in the Alexandria database.

The calculation puts the theoretical density at 9.57 Mg/m³. The calculation puts the uncorrected energy at -0.169 Ry per atom. Its formation energy is -0.2282 eV/atom.

The structure belongs to space group P4/mmm (No. 123); the cell edges are 3.586, 3.586 and 7.613 Å and the angles 90.00°, 90.00° and 90.00°. The inequivalent atoms are La at (0.000, 0.000, 0.000), Cd at (0.500, 0.500, 0.285) and Hg at (0.000, 0.000, 0.500).

First-principles (GGA-PBEsol) data for LaCd2Hg after structural relaxation, as listed in the Alexandria database.

The calculation puts the theoretical density at 9.74 Mg/m³. The calculation puts the uncorrected energy at -0.184 Ry per atom. Its formation energy is -0.4234 eV/atom.

The structure belongs to space group F-43m (No. 216); the cell edges are 7.273, 7.273 and 7.273 Å and the angles 90.00°, 90.00° and 90.00°. The inequivalent atoms are La at (0.000, 0.000, 0.000), Cd at (0.000, 0.000, 0.500), Cd at (0.250, 0.250, 0.250) and Hg at (0.250, 0.250, 0.750).

First-principles (GGA-PBEsol) data for LaCdHg2 after structural relaxation, as listed in the Alexandria database.

The calculation puts the theoretical density at 11.28 Mg/m³. The calculation puts the uncorrected energy at -0.172 Ry per atom. Its formation energy is -0.4258 eV/atom.

The structure belongs to space group F-43m (No. 216); the cell edges are 7.270, 7.270 and 7.270 Å and the angles 90.00°, 90.00° and 90.00°. The inequivalent atoms are La at (0.000, 0.000, 0.000), Cd at (0.250, 0.250, 0.750), Hg at (0.000, 0.000, 0.500) and Hg at (0.250, 0.250, 0.250).

First-principles (GGA-PBEsol) data for LaCdHg2 after structural relaxation, as listed in the Alexandria database.

The calculation puts the theoretical density at 10.83 Mg/m³. The calculation puts the uncorrected energy at -0.166 Ry per atom. Its formation energy is -0.3339 eV/atom.

The structure belongs to space group Pm (No. 6); the cell edges are 3.314, 4.981 and 6.063 Å and the angles 90.00°, 90.43° and 90.00°. The inequivalent atoms are La at (0.000, 0.000, 0.000), Cd at (0.506, 0.500, 0.270), Hg at (0.495, 0.500, 0.768) and Hg at (0.500, 0.000, 0.502).